Record 1
## Y2Be2Rh (PBE)

Data for Y2Be2Rh after structural relaxation.

a b c (Å): 6.6646 6.6646 4.0394
angles (deg): 90.00 90.00 90.00
Last column: nearest neighbours and their distance in Å.
Element x y z (fractional)
Y: 0.1868 0.3132 0.0000  6 Be 2.76-2.89
Y: 0.3132 0.8132 0.0000  6 Be 2.76-2.89
Y: 0.6868 0.1868 0.0000  6 Be 2.76-2.89
Y: 0.8132 0.6868 0.0000  6 Be 2.76-2.89
Be: 0.1137 0.6137 0.5000  1 Be 2.14
Be: 0.3863 0.1137 0.5000  1 Be 2.14
Be: 0.6137 0.8863 0.5000  1 Be 2.14
Be: 0.8863 0.3863 0.5000  1 Be 2.14
Rh: 0.0000 0.0000 0.5000  4 Be 2.68
Rh: 0.5000 0.5000 0.5000  4 Be 2.68

Computed properties:
Formation energy from the elements (eV/atom): -0.200
Symmetry: P4/mbm (127)
ΔE to the lowest computed polymorph (eV/f.u.): 0.00

Record 2
## Na2PaPdO6 (PBE)

Data for Na2PaPdO6 after structural relaxation.

a b c (Å): 5.7077 5.7085 5.7623
angles (deg): 90.00 60.33 60.01
Last column: nearest neighbours and their distance in Å.
Element x y z (fractional)
Na: 0.0047 0.2481 0.2430  3 O 2.43
Na: 0.9953 0.7519 0.7570  3 O 2.43
Pa: 0.5000 0.0000 0.5000  6 O 2.15
Pd: 0.5000 0.5000 0.0000  6 O 2.00
O: 0.0185 0.6662 0.2412  1 Pd 2.00, 1 Pa 2.15
O: 0.4251 0.8160 0.2404  1 Pd 2.00, 1 Pa 2.15
O: 0.4260 0.7395 0.7580  1 Pd 2.00, 1 Pa 2.15
O: 0.5740 0.2605 0.2420  1 Pd 2.00, 1 Pa 2.15
O: 0.5749 0.1840 0.7596  1 Pd 2.00, 1 Pa 2.15
O: 0.9815 0.3338 0.7588  1 Pd 2.00, 1 Pa 2.15

Computed properties:
Formation energy (no corrections) (kJ/mol of formula units): -1758
Symmetry: P-1 (2)

Record 3
## Mg6Ag12Bi (PBE)

Data for Mg6Ag12Bi after structural relaxation.

a b c (Å): 7.2204 7.2204 7.2204
angles (deg): 90.59 90.59 90.59
Last column: nearest neighbours and their distance in Å.
Element x y z (fractional)
Mg: 0.1149 0.6890 0.2740  7 Ag 2.77-2.98
Mg: 0.2740 0.1149 0.6890  7 Ag 2.77-2.98
Mg: 0.3110 0.7260 0.8851  7 Ag 2.77-2.98
Mg: 0.6890 0.2740 0.1149  7 Ag 2.77-2.98
Mg: 0.7260 0.8851 0.3110  7 Ag 2.77-2.98
Mg: 0.8851 0.3110 0.7260  7 Ag 2.77-2.98
Ag: 0.0138 0.1768 0.3819  4 Mg 2.83-3.11, 3 Ag 2.88-3.09, 1 Bi 3.03
Ag: 0.1768 0.3819 0.0138  4 Mg 2.83-3.11, 3 Ag 2.88-3.09, 1 Bi 3.03
Ag: 0.2040 0.4730 0.5764  4 Mg 2.77-2.96, 4 Ag 2.83-3.01
Ag: 0.3819 0.0138 0.1768  4 Mg 2.83-3.11, 3 Ag 2.88-3.09, 1 Bi 3.03
Ag: 0.4236 0.7960 0.5270  4 Mg 2.77-2.96, 4 Ag 2.83-3.01
Ag: 0.4730 0.5764 0.2040  4 Mg 2.77-2.96, 4 Ag 2.83-3.01
Ag: 0.5270 0.4236 0.7960  4 Mg 2.77-2.96, 4 Ag 2.83-3.01
Ag: 0.5764 0.2040 0.4730  4 Mg 2.77-2.96, 4 Ag 2.83-3.01
Ag: 0.6181 0.9862 0.8232  4 Mg 2.83-3.11, 3 Ag 2.88-3.09, 1 Bi 3.03
Ag: 0.7960 0.5270 0.4236  4 Mg 2.77-2.96, 4 Ag 2.83-3.01
Ag: 0.8232 0.6181 0.9862  4 Mg 2.83-3.11, 3 Ag 2.88-3.09, 1 Bi 3.03
Ag: 0.9862 0.8232 0.6181  4 Mg 2.83-3.11, 3 Ag 2.88-3.09, 1 Bi 3.03
Bi: 0.0000 0.0000 0.0000  6 Ag 3.03, 6 Mg 3.12

Computed properties:
Formation energy from the elements (eV/atom): -0.071
Symmetry: R-3 (148)

Record 4
## AcSiIr (PBE)

Data for AcSiIr after structural relaxation.

a b c (Å): 4.0823 7.7033 7.7033
angles (deg): 123.05 90.00 90.00
Last column: nearest neighbours and their distance in Å.
Element x y z (fractional)
Ac: 0.0000 0.0000 0.0000  5 Ir 3.02-3.19, 4 Si 3.38
Ac: 0.0000 0.1228 0.5380  5 Ir 2.96-3.30
Ac: 0.0000 0.5380 0.1228  5 Ir 2.96-3.30
Si: 0.5000 0.3713 0.3713  2 Ir 2.49, 2 Si 2.68
Si: 0.5000 0.5831 0.7853  3 Ir 2.48-2.61, 2 Si 2.68-2.74
Si: 0.5000 0.7853 0.5831  3 Ir 2.48-2.61, 2 Si 2.68-2.74
Ir: 0.0000 0.5658 0.5658  6 Si 2.49-2.61
Ir: 0.5000 0.1657 0.8370  1 Si 2.48
Ir: 0.5000 0.8370 0.1657  1 Si 2.48

Computed properties:
Formation energy (no corrections) (kJ/mol of formula units): -187
Symmetry: Amm2 (38)
ΔE to the lowest computed polymorph (eV/f.u.): 0.91

In eV/atom, the energy values for the records above are, in order, -5.747 -6.530 -2.580 -6.778.